Material: Dy2Ga2SnPd5
Method: DFT, PBE-GGA
State: optimized geometry

```
Dy2Ga2SnPd5
1.0
-0.810 1.206 -3.450
-1.875 -9.363 -2.832
-9.541 1.115 2.630
Ga Pd Sn Dy
4 10 2 4
Direct
0.000 0.620 0.880
0.000 0.120 0.620
0.000 0.380 0.120
0.000 0.880 0.380
0.500 0.441 0.290
0.500 0.290 0.559
0.500 0.059 0.790
0.500 0.710 0.441
0.500 0.500 0.000
0.500 0.559 0.710
0.500 0.210 0.059
0.500 0.941 0.210
0.500 0.000 0.500
0.500 0.790 0.941
0.000 0.000 0.000
0.000 0.500 0.500
0.000 0.822 0.678
0.000 0.322 0.822
0.000 0.678 0.178
0.000 0.178 0.322
```

formation energy from the elements	-0.75	eV per atom
crystal system	tetragonal

---

Material: DyGaSnPd
Method: DFT, PBE-GGA
State: optimized geometry

```
DyGaSnPd
1.0
4.892 0.000 0.000
2.446 4.236 0.000
2.446 1.412 3.994
Pd Dy Ga Sn
1 1 1 1
Direct
0.000 0.000 0.000
0.750 0.750 0.750
0.500 0.500 0.500
0.250 0.250 0.250
```

formation energy from the elements	-0.62	eV per atom
crystal system	cubic

---

Material: SrDyGa2Pd2
Method: DFT, PBE-GGA
State: optimized geometry

```
SrDyGa2Pd2
1.0
4.501 0.000 0.000
-2.250 3.898 0.000
0.000 0.000 7.690
Sr Ga Dy Pd
1 2 1 2
Direct
0.000 0.000 0.000
0.333 0.667 0.288
0.667 0.333 0.712
0.000 0.000 0.500
0.333 0.667 0.704
0.667 0.333 0.296
```

formation energy from the elements	-0.78	eV per atom
crystal system	trigonal

---

Material: SrDyGa2Pd5
Method: DFT, PBE-GGA
State: optimized geometry

```
SrDyGa2Pd5
1.0
4.318 0.000 0.000
0.000 4.318 0.000
0.000 0.000 9.185
Sr Pd Ga Dy
1 5 2 1
Direct
0.000 0.000 0.500
0.500 0.000 0.264
0.500 0.500 0.500
0.000 0.500 0.264
0.500 0.000 0.736
0.000 0.500 0.736
0.500 0.500 0.865
0.500 0.500 0.135
0.000 0.000 0.000
```

formation energy from the elements	-0.65	eV per atom
crystal system	tetragonal

---

Which of these has the highest formation energy from the elements? DyGaSnPd